Zr3TaIn | SCAN | PBEsol geometry

Cell and atoms, written as extended XYZ:
```
5
Lattice="5.042 0.000 0.000 0.000 5.042 0.000 0.000 0.000 5.042" Properties=species:S:1:pos:R:3 pbc="T T T"
In 2.521 2.521 2.521
Zr 2.521 0.000 0.000
Zr 0.000 0.000 2.521
Zr 0.000 2.521 0.000
Ta 0.000 0.000 0.000
```

## Properties
For the total energy, the calculation gives -37.713 eV/atom. As for the symmetry: Pm-3m, No. 221. For the size of the total moment, the calculation gives 0.00 μB per atom. The value obtained for the calculated volume is 128 Å³ per cell. Its formation energy is 0.70 eV per atom.